[1]
# PmTiSb (PBE, relaxed)
data_PmTiSb
_cell_length_a 3.709
_cell_length_b 3.709
_cell_length_c 10.740
_cell_angle_alpha 90.00
_cell_angle_beta 90.00
_cell_angle_gamma 90.00
_symmetry_space_group_name_H-M 'I 4 m m'
_symmetry_Int_Tables_number 107
_symmetry_space_group_name_Hall 'I 4 -2'
loop_
_atom_site_label
_atom_site_fract_x
_atom_site_fract_y
_atom_site_fract_z
_atom_site_occupancy
Pm1 0.000 0.000 0.000 1
Ti1 0.000 0.000 0.691 1
Sb1 0.000 0.000 0.302 1
# relative energy among the computed polymorphs	0	meV/atom
# crystal system	tetragonal
# spin magnetization	0.00	Bohr magnetons per cell
# formation energy from raw total energies	-1.20	eV per formula unit



[2]
# Tl16Hg12Au (PBE, relaxed)
data_Tl16Hg12Au
_cell_length_a 11.864
_cell_length_b 16.717
_cell_length_c 10.278
_cell_angle_alpha 90.00
_cell_angle_beta 125.19
_cell_angle_gamma 90.00
_symmetry_space_group_name_H-M 'C 1 m 1'
_symmetry_Int_Tables_number 8
_symmetry_space_group_name_Hall 'C -2y'
loop_
_atom_site_label
_atom_site_fract_x
_atom_site_fract_y
_atom_site_fract_z
_atom_site_occupancy
Tl1 0.000 0.000 0.000 1
Tl2 0.001 0.000 0.350 1
Tl3 0.064 0.347 0.419 1
Tl4 0.105 0.500 0.673 1
Tl5 0.160 0.151 0.601 1
Tl6 0.192 0.177 0.010 1
Tl7 0.201 0.500 0.321 1
Tl8 0.311 0.301 0.336 1
Tl9 0.469 0.115 0.990 1
Tl10 0.483 0.195 0.692 1
Hg1 0.010 0.204 0.187 1
Hg2 0.185 0.000 0.825 1
Hg3 0.247 0.407 0.024 1
Hg4 0.266 0.093 0.369 1
Hg5 0.313 0.302 0.822 1
Hg6 0.375 0.000 0.197 1
Hg7 0.409 0.404 0.659 1
Au1 0.363 0.000 0.695 1
# crystal system	monoclinic
# energy of formation from the pure elements	-3	meV/atom
# spin magnetization	0.00	Bohr magnetons per cell



[3]
# Dy12Al3H5 (PBE, relaxed)
data_Dy12Al3H5
_cell_length_a 15.366
_cell_length_b 15.366
_cell_length_c 15.366
_cell_angle_alpha 90.00
_cell_angle_beta 90.00
_cell_angle_gamma 90.00
_symmetry_space_group_name_H-M 'I a -3 d'
_symmetry_Int_Tables_number 230
_symmetry_space_group_name_Hall '-I 4bd 2c 3'
loop_
_atom_site_label
_atom_site_fract_x
_atom_site_fract_y
_atom_site_fract_z
_atom_site_occupancy
Dy1 0.039 0.057 0.652 1
Al1 0.000 0.250 0.125 1
H1 0.000 0.000 0.000 1
H2 0.000 0.250 0.375 1
# crystal system	cubic
# spin magnetization	0.00	Bohr magnetons per cell
# energy	-4.385	eV/atom



[4]
# NpGe3Ir (PBE, relaxed)
data_NpGe3Ir
_cell_length_a 4.135
_cell_length_b 4.135
_cell_length_c 5.755
_cell_angle_alpha 90.00
_cell_angle_beta 90.00
_cell_angle_gamma 90.00
_symmetry_space_group_name_H-M 'P 4 m m'
_symmetry_Int_Tables_number 99
_symmetry_space_group_name_Hall 'P 4 -2'
loop_
_atom_site_label
_atom_site_fract_x
_atom_site_fract_y
_atom_site_fract_z
_atom_site_occupancy
Np1 0.000 0.000 0.000 1
Ge1 0.000 0.500 0.531 1
Ge2 0.500 0.500 0.869 1
Ir1 0.500 0.500 0.279 1
# crystal system	tetragonal
# energy of formation from the pure elements	-41	meV/atom
# spin magnetization	4.07	Bohr magnetons per cell